No. 1
The following is a DFT calculation (meta-GGA SCAN) of KHfOF2 at its PBEsol-relaxed geometry.

The energy is -87.81 eV for the cell shown. The raw formation energy is -0.70 eV per atom. As for the energy above the most stable polymorph in this dataset: 2277 meV/atom.

It has space group P4/mmm (No. 123), with a = 4.223 Å, b = 4.223 Å, c = 4.673 Å, α = 90.00°, β = 90.00° and γ = 90.00°. Symmetry generates all atoms from K at (0.000, 0.000, 0.000), Hf at (0.500, 0.500, 0.500), O at (0.000, 0.000, 0.500) and F at (0.000, 0.500, 0.000).

No. 2
The following is a DFT calculation (meta-GGA SCAN) of La2HfRhF at its PBEsol-relaxed geometry.

The energy is -188.77 eV for the cell shown. The raw formation energy is -0.52 eV per atom.

It has space group P4/mmm (No. 123), with a = 5.685 Å, b = 5.685 Å, c = 4.804 Å, α = 90.00°, β = 90.00° and γ = 90.00°. Symmetry generates all atoms from La at (0.000, 0.500, 0.000), Hf at (0.000, 0.000, 0.500), Rh at (0.000, 0.000, 0.000) and F at (0.500, 0.500, 0.500).

No. 3
The following is a DFT calculation (meta-GGA SCAN) of LaHfSc2F at its PBEsol-relaxed geometry.

The energy is -138.89 eV for the cell shown. The raw formation energy is -0.22 eV per atom.

It has space group P4/mmm (No. 123), with a = 5.840 Å, b = 5.840 Å, c = 3.963 Å, α = 90.00°, β = 90.00° and γ = 90.00°. Symmetry generates all atoms from La at (0.000, 0.000, 0.000), Hf at (0.500, 0.500, 0.500), Sc at (0.000, 0.500, 0.500) and F at (0.500, 0.500, 0.000).

No. 4
The following is a DFT calculation (meta-GGA SCAN) of LiHfF3 at its PBEsol-relaxed geometry.

The energy is -87.68 eV for the cell shown. The raw formation energy is -2.40 eV per atom.

It has space group Pm-3m (No. 221), with a = 4.233 Å, b = 4.233 Å, c = 4.233 Å, α = 90.00°, β = 90.00° and γ = 90.00°. Symmetry generates all atoms from Li at (0.000, 0.000, 0.000), Hf at (0.500, 0.500, 0.500) and F at (0.000, 0.500, 0.500).

No. 5
The following is a DFT calculation (meta-GGA SCAN) of LiYHf2F at its PBEsol-relaxed geometry.

The energy is -152.16 eV for the cell shown. The raw formation energy is 1.39 eV per atom.

It has space group P4/mmm (No. 123), with a = 5.244 Å, b = 5.244 Å, c = 4.423 Å, α = 90.00°, β = 90.00° and γ = 90.00°. Symmetry generates all atoms from Li at (0.000, 0.000, 0.000), Y at (0.000, 0.000, 0.500), Hf at (0.000, 0.500, 0.500) and F at (0.500, 0.500, 0.000).

No. 6
The following is a DFT calculation (meta-GGA SCAN) of HfMgF2 at its PBEsol-relaxed geometry.

The energy is -248.29 eV for the cell shown. The raw formation energy is -2.01 eV per atom. As for the energy above the most stable polymorph in this dataset: 222 meV/atom.

It has space group R-3m (No. 166, hexagonal axes), with a = 2.9405 Å, b = 2.9405 Å, c = 23.8501 Å, α = 90.00°, β = 90.00° and γ = 120.00°. Symmetry generates all atoms from Hf at (0.0000, 0.0000, 0.0000), Mg at (0.0000, 0.0000, 0.5000) and F at (0.0000, 0.0000, 0.3988).

No. 7
The following is a DFT calculation (meta-GGA SCAN) of HfMgF2 at its PBEsol-relaxed geometry.

The energy is -250.95 eV for the cell shown. The raw formation energy is -2.23 eV per atom. As for the energy above the most stable polymorph in this dataset: 0 meV/atom.

It has space group R-3m (No. 166, hexagonal axes), with a = 3.1428 Å, b = 3.1428 Å, c = 19.6924 Å, α = 90.00°, β = 90.00° and γ = 120.00°. Symmetry generates all atoms from Hf at (0.0000, 0.0000, 0.0000), Mg at (0.0000, 0.0000, 0.5000) and F at (0.0000, 0.0000, 0.1218).

No. 8
The following is a DFT calculation (meta-GGA SCAN) of HfMgOF2 at its PBEsol-relaxed geometry.

The energy is -93.35 eV for the cell shown. The raw formation energy is -2.48 eV per atom. As for the energy above the most stable polymorph in this dataset: 0 meV/atom.

It has space group P4/mmm (No. 123), with a = 4.298 Å, b = 4.298 Å, c = 4.007 Å, α = 90.00°, β = 90.00° and γ = 90.00°. Symmetry generates all atoms from Hf at (0.000, 0.000, 0.000), Mg at (0.500, 0.500, 0.500), O at (0.000, 0.000, 0.500) and F at (0.000, 0.500, 0.000).

No. 9
The following is a DFT calculation (meta-GGA SCAN) of HfMgOF2 at its PBEsol-relaxed geometry.

The energy is -92.16 eV for the cell shown. The raw formation energy is -2.24 eV per atom. As for the energy above the most stable polymorph in this dataset: 239 meV/atom.

It has space group P4/mmm (No. 123), with a = 3.611 Å, b = 3.611 Å, c = 4.605 Å, α = 90.00°, β = 90.00° and γ = 90.00°. Symmetry generates all atoms from Hf at (0.000, 0.000, 0.000), Mg at (0.500, 0.500, 0.500), O at (0.500, 0.500, 0.000) and F at (0.000, 0.500, 0.500).

No. 10
The following is a DFT calculation (meta-GGA SCAN) of HfMnNF2 at its PBEsol-relaxed geometry.

The energy is -102.84 eV for the cell shown. The raw formation energy is -1.11 eV per atom.

It has space group P4/mmm (No. 123), with a = 3.761 Å, b = 3.761 Å, c = 4.062 Å, α = 90.00°, β = 90.00° and γ = 90.00°. Symmetry generates all atoms from Hf at (0.000, 0.000, 0.000), Mn at (0.500, 0.500, 0.500), N at (0.500, 0.500, 0.000) and F at (0.000, 0.500, 0.500).

No. 11
The following is a DFT calculation (meta-GGA SCAN) of Hf3MoF at its PBEsol-relaxed geometry.

The energy is -223.01 eV for the cell shown. The raw formation energy is 0.69 eV per atom.

It has space group Pm-3m (No. 221), with a = 4.973 Å, b = 4.973 Å, c = 4.973 Å, α = 90.00°, β = 90.00° and γ = 90.00°. Symmetry generates all atoms from Hf at (0.000, 0.000, 0.500), Mo at (0.000, 0.000, 0.000) and F at (0.500, 0.500, 0.500).

No. 12
The following is a DFT calculation (meta-GGA SCAN) of HfMoO2F at its PBEsol-relaxed geometry.

The energy is -118.85 eV for the cell shown. The raw formation energy is -1.06 eV per atom.

It has space group P4/mmm (No. 123), with a = 3.902 Å, b = 3.902 Å, c = 4.090 Å, α = 90.00°, β = 90.00° and γ = 90.00°. Symmetry generates all atoms from Hf at (0.000, 0.000, 0.000), Mo at (0.500, 0.500, 0.500), O at (0.000, 0.500, 0.500) and F at (0.500, 0.500, 0.000).